(1)
First-principles (GGA-PBE) data for NaMnBr6 after structural relaxation, as listed in the Alexandria database.

Values from the calculation:
D(E_F)	1.8	states/eV/cell
offset from the most stable computed form	0.0	meV per atom
uncorrected formation energy	-0.61	eV/atom
crystal system	monoclinic
magnetization	3.83	μB per formula unit

a b c (Å): 16.7803 8.8764 21.2162
angles (deg): 24.71 16.04 19.05
Last column: magnetic moment on the atom in μB.
Sites, in units of the cell vectors:
Na: 0.0000 0.0000 0.5000  0.00
Mn: 0.0000 0.0000 0.0000  3.54
Br: 0.4919 0.0000 0.4117  -0.01
Br: 0.6398 0.5134 0.9821  0.01
Br: 0.5081 0.0000 0.5883  -0.01
Br: 0.8467 0.5134 0.0179  0.01
Br: 0.3602 0.4866 0.0179  0.01
Br: 0.1533 0.4866 0.9821  0.01

***

(2)
First-principles (GGA-PBE) data for Na4MnBr2 after structural relaxation, as listed in the Alexandria database.

Values from the calculation:
D(E_F)	5.7	states/eV/cell
uncorrected formation energy	-0.18	eV/atom
crystal system	tetragonal
magnetization	5.09	μB per formula unit

a b c (Å): 5.8246 5.8246 8.8034
angles (deg): 70.68 70.68 90.00
Last column: magnetic moment on the atom in μB.
Sites, in units of the cell vectors:
Na: 0.7987 0.7987 0.4025  0.03
Na: 0.2013 0.2013 0.5975  0.03
Na: 0.0000 0.5000 0.0000  0.00
Na: 0.5000 0.0000 0.0000  0.00
Mn: 0.0000 0.0000 0.0000  4.00
Br: 0.6214 0.6214 0.7573  0.02
Br: 0.3786 0.3786 0.2427  0.02

***

(3)
First-principles (GGA-PBE) data for NaMnBr after structural relaxation, as listed in the Alexandria database.

Values from the calculation:
D(E_F)	1.4	states/eV/cell
offset from the most stable computed form	1.2	meV per atom
uncorrected formation energy	-0.37	eV/atom
crystal system	trigonal
magnetization	0.03	μB per formula unit

a b c (Å): 3.8665 3.8665 11.4700
angles (deg): 90.00 90.00 120.00
Last column: magnetic moment on the atom in μB.
Sites, in units of the cell vectors:
Na: 0.6667 0.3333 0.1386  0.00
Na: 0.6667 0.3333 0.8068  -0.01
Mn: 0.3333 0.6667 0.5966  -3.48
Mn: 0.0000 0.0000 0.5098  3.42
Br: 0.0000 0.0000 0.2965  0.02
Br: 0.3333 0.6667 0.9718  0.00